The following is a DFT calculation (PBE) of a relaxed SrSb2Au crystal.

Computed properties:
As for the magnetization: 0.00 Bohr magnetons per cell. For the raw total energy, the calculation gives -29.680 eV for the cell shown. The symmetry is I-42d. The calculation puts the formation energy (no corrections) at -0.409 eV/atom.

Cell and atoms, written as POSCAR:
```
SrSb2Au
1.0
-2.632 2.632 9.611
2.632 -2.632 9.611
2.632 2.632 -9.611
Sr Sb Au
2 4 2
Direct
0.000 0.000 0.000
0.750 0.250 0.500
0.241 0.625 0.116
0.375 0.491 0.616
0.509 0.125 0.884
0.875 0.759 0.384
0.250 0.750 0.500
0.500 0.500 0.000
```